DFT (PBE) results for a relaxed RbBeAsPd crystal.

- ΔE to the lowest computed polymorph (meV per atom) = 74
- theoretical density (Mg/m³) = 5.57

Cell and atoms, written as CIF:
```
data_RbBeAsPd
_space_group_name_H-M_alt 'F -4 3 m'
_space_group_IT_number 216
_space_group_name_Hall 'F -4 2 3'
_cell_length_a 6.904
_cell_length_b 6.904
_cell_length_c 6.904
_cell_angle_alpha 90.00
_cell_angle_beta 90.00
_cell_angle_gamma 90.00
loop_
_atom_site_label
_atom_site_type_symbol
_atom_site_fract_x
_atom_site_fract_y
_atom_site_fract_z
Rb1 Rb 0.000 0.000 0.000
Be1 Be 0.000 0.000 0.500
As1 As 0.250 0.250 0.750
Pd1 Pd 0.250 0.250 0.250
```